[1]
Below is KCd2Ir after structural relaxation, with properties calculated at the GGA-PBEsol level.

Its total energy is -3.105 eV per atom. As for the formation energy: 0.233 eV/atom. For the total magnetization, the calculation gives 0.00 μB per formula unit.

It has space group Cm (No. 8), with a = 15.933 Å, b = 2.987 Å, c = 4.518 Å, α = 90.00°, β = 106.46° and γ = 90.00°. The asymmetric unit holds K at (0.000, 0.000, 0.000), Cd at (0.184, 0.000, 0.685), Cd at (0.338, 0.000, 0.337) and Ir at (0.190, 0.500, 0.191).



[2]
Below is Ca2OsPb after structural relaxation, with properties calculated at the GGA-PBEsol level.

Its total energy is -4.926 eV per atom. As for the formation energy: 0.194 eV/atom. For the total magnetization, the calculation gives 0.00 μB per formula unit.

It has space group R3m (No. 160, hexagonal axes), with a = 4.8051 Å, b = 4.8051 Å, c = 14.7251 Å, α = 90.00°, β = 90.00° and γ = 120.00°. The asymmetric unit holds Ca at (0.0000, 0.0000, 0.0000), Ca at (0.0000, 0.0000, 0.2138), Os at (0.0000, 0.0000, 0.7842) and Pb at (0.0000, 0.0000, 0.4504).



[3]
Below is CaSi2Mo after structural relaxation, with properties calculated at the GGA-PBEsol level.

Its total energy is -6.250 eV per atom. The calculation puts the offset from the most stable computed form at 0.0000 eV per atom. For the total magnetization, the calculation gives 0.04 μB per formula unit.

It has space group Fm-3m (No. 225), with a = 6.393 Å, b = 6.393 Å, c = 6.393 Å, α = 90.00°, β = 90.00° and γ = 90.00°. The asymmetric unit holds Ca at (0.000, 0.000, 0.000), Si at (0.250, 0.250, 0.250) and Mo at (0.000, 0.000, 0.500).



[4]
Below is BaZrBr2 after structural relaxation, with properties calculated at the GGA-PBEsol level.

Its total energy is -4.617 eV per atom. The calculation puts the offset from the most stable computed form at 0.0000 eV per atom. For the total magnetization, the calculation gives 0.00 μB per formula unit.

It has space group P4mm (No. 99), with a = 3.836 Å, b = 3.836 Å, c = 7.632 Å, α = 90.00°, β = 90.00° and γ = 90.00°. The asymmetric unit holds Ba at (0.000, 0.000, 0.000), Zr at (0.500, 0.500, 0.640), Br at (0.000, 0.000, 0.551) and Br at (0.500, 0.500, 0.264).



[5]
Below is SiNi2O4 after structural relaxation, with properties calculated at the GGA-PBEsol level.

Its total energy is -7.073 eV per atom. For the total magnetization, the calculation gives 3.97 μB per formula unit.

It has space group Pnma (No. 62), with a = 10.060 Å, b = 5.851 Å, c = 4.683 Å, α = 90.00°, β = 90.00° and γ = 90.00°. The asymmetric unit holds Si at (0.095, 0.250, 0.072), Ni at (0.000, 0.000, 0.500), Ni at (0.227, 0.750, 0.006), O at (0.057, 0.750, 0.785), O at (0.095, 0.250, 0.724) and O at (0.164, 0.026, 0.227).



[6]
Below is MnBe2As after structural relaxation, with properties calculated at the GGA-PBEsol level.

Its total energy is -5.431 eV per atom. As for the formation energy: 0.286 eV/atom. For the total magnetization, the calculation gives 2.24 μB per formula unit.

It has space group P4mm (No. 99), with a = 2.592 Å, b = 2.592 Å, c = 7.579 Å, α = 90.00°, β = 90.00° and γ = 90.00°. The asymmetric unit holds Mn at (0.000, 0.000, 0.000), Be at (0.000, 0.000, 0.652), Be at (0.500, 0.500, 0.802) and As at (0.500, 0.500, 0.241).



[7]
Below is Ba3Ta2Ti6O21 after structural relaxation, with properties calculated at the GGA-PBEsol level.

Its total energy is -8.926 eV per atom. For the total magnetization, the calculation gives 1.99 μB per formula unit.

It has space group P6_3/mcm (No. 193), with a = 8.9422 Å, b = 8.9422 Å, c = 11.8056 Å, α = 90.00°, β = 90.00° and γ = 120.00°. The asymmetric unit holds Ba at (0.0000, 0.4038, 0.2500), Ta at (0.3333, 0.6667, 0.0000), Ti at (0.0000, 0.2371, 0.5959), O at (0.0000, 0.2021, 0.7500), O at (0.0000, 0.2028, 0.0736) and O at (0.1672, 0.4803, 0.6008).



[8]
Below is Nb2NiBr after structural relaxation, with properties calculated at the GGA-PBEsol level.

Its total energy is -7.117 eV per atom. For the total magnetization, the calculation gives 0.00 μB per formula unit.

It has space group Fm-3m (No. 225), with a = 6.283 Å, b = 6.283 Å, c = 6.283 Å, α = 90.00°, β = 90.00° and γ = 90.00°. The asymmetric unit holds Nb at (0.250, 0.250, 0.250), Ni at (0.000, 0.000, 0.000) and Br at (0.000, 0.000, 0.500).



[9]
Below is YMg2BeSe after structural relaxation, with properties calculated at the GGA-PBEsol level.

Its total energy is -3.434 eV per atom. For the total magnetization, the calculation gives 0.00 μB per formula unit.

It has space group P4/mmm (No. 123), with a = 4.880 Å, b = 4.880 Å, c = 5.305 Å, α = 90.00°, β = 90.00° and γ = 90.00°. The asymmetric unit holds Y at (0.000, 0.000, 0.000), Mg at (0.000, 0.500, 0.500), Be at (0.500, 0.500, 0.000) and Se at (0.000, 0.000, 0.500).



[10]
Below is TaHO2 after structural relaxation, with properties calculated at the GGA-PBEsol level.

Its total energy is -6.769 eV per atom. For the total magnetization, the calculation gives 0.00 μB per formula unit.

It has space group R-3m (No. 166, hexagonal axes), with a = 2.9537 Å, b = 2.9537 Å, c = 16.7039 Å, α = 90.00°, β = 90.00° and γ = 120.00°. The asymmetric unit holds Ta at (0.0000, 0.0000, 0.0000), H at (0.0000, 0.0000, 0.5000) and O at (0.0000, 0.0000, 0.1113).



[11]
Below is Sc2AgTe after structural relaxation, with properties calculated at the GGA-PBEsol level.

Its total energy is -5.582 eV per atom. For the total magnetization, the calculation gives 0.00 μB per formula unit.

It has space group R-3m (No. 166, hexagonal axes), with a = 3.8903 Å, b = 3.8903 Å, c = 21.0361 Å, α = 90.00°, β = 90.00° and γ = 120.00°. The asymmetric unit holds Sc at (0.0000, 0.0000, 0.2467), Ag at (0.0000, 0.0000, 0.5000) and Te at (0.0000, 0.0000, 0.0000).



[12]
Below is Sr2LiCa after structural relaxation, with properties calculated at the GGA-PBEsol level.

Its total energy is -1.867 eV per atom. The calculation puts the offset from the most stable computed form at 0.0616 eV per atom. As for the formation energy: 0.078 eV/atom. For the total magnetization, the calculation gives 0.00 μB per formula unit.

It has space group Fm-3m (No. 225), with a = 8.796 Å, b = 8.796 Å, c = 8.796 Å, α = 90.00°, β = 90.00° and γ = 90.00°. The asymmetric unit holds Sr at (0.250, 0.250, 0.250), Li at (0.000, 0.000, 0.000) and Ca at (0.000, 0.000, 0.500).



[13]
Below is BSbSCl2 after structural relaxation, with properties calculated at the GGA-PBEsol level.

Its total energy is -3.216 eV per atom. For the total magnetization, the calculation gives 0.10 μB per formula unit.

It has space group P4/mmm (No. 123), with a = 5.141 Å, b = 5.141 Å, c = 5.174 Å, α = 90.00°, β = 90.00° and γ = 90.00°. The asymmetric unit holds B at (0.000, 0.000, 0.000), Sb at (0.500, 0.500, 0.500), S at (0.500, 0.500, 0.000) and Cl at (0.000, 0.500, 0.500).



[14]
Below is Ca2CoAg after structural relaxation, with properties calculated at the GGA-PBEsol level.

Its total energy is -3.702 eV per atom. The calculation puts the offset from the most stable computed form at 0.0000 eV per atom. As for the formation energy: 0.127 eV/atom. For the total magnetization, the calculation gives 0.00 μB per formula unit.

It has space group P4/mmm (No. 123), with a = 3.371 Å, b = 3.371 Å, c = 7.335 Å, α = 90.00°, β = 90.00° and γ = 90.00°. The asymmetric unit holds Ca at (0.000, 0.000, 0.221), Co at (0.500, 0.500, 0.000) and Ag at (0.500, 0.500, 0.500).



[15]
Below is ZrZn2Ru after structural relaxation, with properties calculated at the GGA-PBEsol level.

Its total energy is -5.721 eV per atom. As for the formation energy: -0.115 eV/atom. For the total magnetization, the calculation gives 0.00 μB per formula unit.

It has space group Cmmm (No. 65), with a = 5.246 Å, b = 7.358 Å, c = 3.174 Å, α = 90.00°, β = 90.00° and γ = 90.00°. The asymmetric unit holds Zr at (0.000, 0.000, 0.000), Zn at (0.250, 0.250, 0.500) and Ru at (0.000, 0.500, 0.000).



[16]
Below is Ce3AlC after structural relaxation, with properties calculated at the GGA-PBEsol level.

Its total energy is -6.867 eV per atom. As for the formation energy: -0.163 eV/atom. For the total magnetization, the calculation gives 1.20 μB per formula unit.

It has space group Pm-3m (No. 221), with a = 4.851 Å, b = 4.851 Å, c = 4.851 Å, α = 90.00°, β = 90.00° and γ = 90.00°. The asymmetric unit holds Ce at (0.000, 0.000, 0.500), Al at (0.500, 0.500, 0.500) and C at (0.000, 0.000, 0.000).



[17]
Below is MgSiAu2 after structural relaxation, with properties calculated at the GGA-PBEsol level.

Its total energy is -4.027 eV per atom. For the total magnetization, the calculation gives 0.00 μB per formula unit.

It has space group Imm2 (No. 44), with a = 3.702 Å, b = 4.229 Å, c = 8.522 Å, α = 90.00°, β = 90.00° and γ = 90.00°. The asymmetric unit holds Mg at (0.000, 0.000, 0.000), Si at (0.000, 0.500, 0.760), Au at (0.000, 0.000, 0.475) and Au at (0.000, 0.500, 0.233).



[18]
Below is BaCaTl2 after structural relaxation, with properties calculated at the GGA-PBEsol level.

Its total energy is -2.664 eV per atom. As for the formation energy: -0.278 eV/atom. For the total magnetization, the calculation gives 0.00 μB per formula unit.

It has space group I-4m2 (No. 119), with a = 5.066 Å, b = 5.066 Å, c = 10.002 Å, α = 90.00°, β = 90.00° and γ = 90.00°. The asymmetric unit holds Ba at (0.000, 0.000, 0.000), Ca at (0.000, 0.500, 0.250), Tl at (0.000, 0.000, 0.500) and Tl at (0.000, 0.500, 0.750).



[19]
Below is MgAu after structural relaxation, with properties calculated at the GGA-PBEsol level.

Its total energy is -3.341 eV per atom. As for the formation energy: -0.520 eV/atom. For the total magnetization, the calculation gives 0.00 μB per formula unit.

It has space group C2/m (No. 12), with a = 9.762 Å, b = 3.250 Å, c = 4.610 Å, α = 90.00°, β = 106.12° and γ = 90.00°. The asymmetric unit holds Mg at (0.114, 0.000, 0.326) and Au at (0.126, 0.500, 0.836).



[20]
Below is NdTlAg2 after structural relaxation, with properties calculated at the GGA-PBEsol level.

Its total energy is -3.888 eV per atom. As for the formation energy: -0.283 eV/atom. For the total magnetization, the calculation gives 0.00 μB per formula unit.

It has space group Fm-3m (No. 225), with a = 7.035 Å, b = 7.035 Å, c = 7.035 Å, α = 90.00°, β = 90.00° and γ = 90.00°. The asymmetric unit holds Nd at (0.000, 0.000, 0.000), Tl at (0.000, 0.000, 0.500) and Ag at (0.250, 0.250, 0.250).



[21]
Below is RbNb2Al after structural relaxation, with properties calculated at the GGA-PBEsol level.

Its total energy is -5.269 eV per atom. As for the formation energy: 1.421 eV/atom. For the total magnetization, the calculation gives 0.00 μB per formula unit.

It has space group I4_1/amd (No. 141, origin choice 2), with a = 4.900 Å, b = 4.900 Å, c = 20.284 Å, α = 90.00°, β = 90.00° and γ = 90.00°. The asymmetric unit holds Rb at (0.000, 0.250, 0.375), Nb at (0.000, 0.000, 0.000) and Al at (0.000, 0.250, 0.875).



[22]
Below is Ca2CrCu after structural relaxation, with properties calculated at the GGA-PBEsol level.

Its total energy is -4.255 eV per atom. The calculation puts the offset from the most stable computed form at 0.0000 eV per atom. As for the formation energy: 0.455 eV/atom. For the total magnetization, the calculation gives 4.62 μB per formula unit.

It has space group P4/mmm (No. 123), with a = 3.574 Å, b = 3.574 Å, c = 7.345 Å, α = 90.00°, β = 90.00° and γ = 90.00°. The asymmetric unit holds Ca at (0.000, 0.000, 0.231), Cr at (0.500, 0.500, 0.500) and Cu at (0.500, 0.500, 0.000).



[23]
Below is HfTc3Ge after structural relaxation, with properties calculated at the GGA-PBEsol level.

Its total energy is -7.837 eV per atom. As for the formation energy: 2.011 eV/atom. For the total magnetization, the calculation gives 2.92 μB per formula unit.

It has space group Pm-3m (No. 221), with a = 4.681 Å, b = 4.681 Å, c = 4.681 Å, α = 90.00°, β = 90.00° and γ = 90.00°. The asymmetric unit holds Hf at (0.000, 0.000, 0.000), Tc at (0.000, 0.000, 0.500) and Ge at (0.500, 0.500, 0.500).



[24]
Below is Ca2PtAu after structural relaxation, with properties calculated at the GGA-PBEsol level.

Its total energy is -4.569 eV per atom. As for the formation energy: -0.781 eV/atom. For the total magnetization, the calculation gives 0.00 μB per formula unit.

It has space group Fm-3m (No. 225), with a = 6.986 Å, b = 6.986 Å, c = 6.986 Å, α = 90.00°, β = 90.00° and γ = 90.00°. The asymmetric unit holds Ca at (0.250, 0.250, 0.250), Pt at (0.000, 0.000, 0.000) and Au at (0.000, 0.000, 0.500).



[25]
Below is K2BI2 after structural relaxation, with properties calculated at the GGA-PBEsol level.

Its total energy is -2.452 eV per atom. For the total magnetization, the calculation gives 1.00 μB per formula unit.

It has space group I4/mmm (No. 139), with a = 6.723 Å, b = 6.723 Å, c = 9.938 Å, α = 90.00°, β = 90.00° and γ = 90.00°. The asymmetric unit holds K at (0.000, 0.500, 0.250), B at (0.000, 0.000, 0.000) and I at (0.000, 0.000, 0.292).